DFT (PBE) results for YHgMo2Rh after structural relaxation.

Cell lengths 4.8926, 4.8926, 4.8380 Å; angles 90.00, 90.00, 90.00 degrees
Last column: nearest neighbours and their distance in Å.
Space group P4/mmm (No. 123)
Inequivalent atoms, fractional coordinates:
Y1 0.0000 0.0000 0.0000 x1  2 Rh 2.42, 4 Mo 2.45
Hg1 0.5000 0.5000 0.5000 x1  8 Mo 3.44, 4 Rh 3.46
Mo1 0.0000 0.5000 0.0000 x2  2 Y 2.45
Rh1 0.0000 0.0000 0.5000 x1  2 Y 2.42

Calculated values
The calculation puts the uncorrected energy at -5.13 eV/atom. The formation energy comes out at 10.12 eV/f.u.